#i
Computed, not measured: crystalline SmEuAu2 at its relaxed geometry at the PBE level of DFT.

Cell lengths 5.230, 5.230, 5.230 Å; angles 60.00, 60.00, 60.00 degrees
Site moments in Bohr magnetons follow the coordinates.
Element x y z (fractional)
Eu  0.500  0.500  0.500  6.79
Au  0.250  0.250  0.250  0.00
Au  0.750  0.750  0.750  0.00
Sm  0.000  0.000  0.000  0.02

## Properties
* SG: No. 225
* calculated volume: 25.28 Å³ per atom

#ii
Computed, not measured: crystalline SmEuAu2 at its relaxed geometry at the PBE level of DFT.

Cell lengths 4.325, 4.325, 7.582 Å; angles 73.43, 73.43, 60.00 degrees
Site moments in Bohr magnetons follow the coordinates.
Element x y z (fractional)
Eu  0.500  0.500  0.500  6.82
Au  0.255  0.255  0.235  0.00
Au  0.745  0.745  0.765  0.00
Sm  0.000  0.000  0.000  0.02

## Properties
* SG: No. 166
* calculated volume: 28.99 Å³ per atom

#iii
Computed, not measured: crystalline SmEuAu2 at its relaxed geometry at the PBE level of DFT.

Cell lengths 3.714, 3.714, 7.422 Å; angles 90.00, 90.00, 90.00 degrees
Site moments in Bohr magnetons follow the coordinates.
Element x y z (fractional)
Eu  0.500  0.500  0.500  6.85
Au  0.000  0.000  0.773  0.01
Au  0.000  0.000  0.227  0.01
Sm  0.500  0.500  0.000  0.02

## Properties
* SG: No. 123
* calculated volume: 25.60 Å³ per atom

Which structure is the most stable? The one labeled #iii.

#i
Computed, not measured: crystalline SrEu2Au at its relaxed geometry at the PBE level of DFT.

Cell lengths 3.868, 3.868, 9.774 Å; angles 90.00, 90.00, 90.00 degrees
Site moments in Bohr magnetons follow the coordinates.
Element x y z (fractional)
Eu  0.000  0.000  0.822  6.92
Eu  0.000  0.000  0.178  6.92
Sr  0.500  0.500  0.500  0.05
Au  0.500  0.500  0.000  0.01

## Properties
* SG: No. 123
* calculated volume: 36.57 Å³ per atom

#ii
Computed, not measured: crystalline SrEu2Au at its relaxed geometry at the PBE level of DFT.

Cell lengths 4.331, 4.331, 10.648 Å; angles 78.27, 78.27, 60.00 degrees
Site moments in Bohr magnetons follow the coordinates.
Element x y z (fractional)
Eu  0.723  0.723  0.831  6.92
Eu  0.277  0.277  0.169  6.92
Sr  0.500  0.500  0.500  0.04
Au  0.000  0.000  0.000  0.01

## Properties
* SG: No. 166
* calculated volume: 42.03 Å³ per atom

Which structure is the most stable? The one labeled #i.